1.
Below is CaYCdAu after structural relaxation, with properties calculated at the PBE level.

Cell lengths 7.371, 7.371, 7.371 Å; angles 90.00, 90.00, 90.00 degrees
Space group F-43m (No. 216)
Symmetry-distinct sites (fractional):
Ca  0.000  0.000  0.000 [4 per cell]
Y  0.000  0.000  0.500 [4 per cell]
Cd  0.250  0.250  0.750 [4 per cell]
Au  0.250  0.250  0.250 [4 per cell]

Results
**Total magnetic moment**: 0.00 Bohr magnetons per cell
**Crystal system**: cubic
**Formation enthalpy at 0 K**: -0.558 eV per atom
**E above lowest polymorph**: 34 meV/atom

---

2.
Below is MgSbBr2 after structural relaxation, with properties calculated at the PBE level.

Cell lengths 3.693, 6.028, 13.138 Å; angles 90.00, 90.00, 90.00 degrees
Space group Cmmm (No. 65)
Symmetry-distinct sites (fractional):
Mg  0.000  0.000  0.000 [2 per cell]
Sb  0.000  0.000  0.500 [2 per cell]
Br  0.000  0.500  0.134 [4 per cell]

Results
**Total magnetic moment**: 0.00 Bohr magnetons per cell
**Crystal system**: orthorhombic
**Raw formation energy**: -55.60 kJ per mole of atoms
**E above lowest polymorph**: 187 meV/atom

---

3.
Below is Pm6PrNdDy2 after structural relaxation, with properties calculated at the PBE level.

Cell lengths 9.320, 15.286, 9.743 Å; angles 90.00, 97.27, 90.00 degrees
Space group C2/c (No. 15)
Symmetry-distinct sites (fractional):
Pm  0.066  0.179  0.444 [8 per cell]
Pm  0.096  0.391  0.619 [8 per cell]
Pm  0.210  0.226  0.818 [8 per cell]
Pr  0.000  0.030  0.750 [4 per cell]
Nd  0.000  0.407  0.250 [4 per cell]
Dy  0.248  0.049  0.048 [8 per cell]

Results
**Total magnetic moment**: 0.00 Bohr magnetons per cell
**Crystal system**: monoclinic
**Formation enthalpy at 0 K**: 0.115 eV per atom

---

| no. | VASP energy (eV per cell) |
| --- | --- |
| 1 | -59.556 |
| 2 | -22.736 |
| 3 | -184.428 |